Entry 1:
Ti2Nb2Br7 | PBE | relaxed

The value obtained for the uncorrected formation energy is -0.53 eV per atom.

```
Ti2Nb2Br7
1.0
3.841 -5.979 0.000
3.841 5.979 0.000
-2.007 0.000 12.458
Ti Nb Br
4 4 14
direct
0.165 0.214 0.291 Ti
0.214 0.165 0.791 Ti
0.786 0.835 0.209 Ti
0.835 0.786 0.709 Ti
0.179 0.462 0.443 Nb
0.462 0.179 0.943 Nb
0.538 0.821 0.057 Nb
0.821 0.538 0.557 Nb
0.047 0.346 0.631 Br
0.096 0.828 0.876 Br
0.172 0.904 0.624 Br
0.244 0.432 0.953 Br
0.346 0.047 0.131 Br
0.392 0.608 0.250 Br
0.432 0.244 0.453 Br
0.568 0.756 0.547 Br
0.608 0.392 0.750 Br
0.654 0.953 0.869 Br
0.756 0.568 0.047 Br
0.828 0.096 0.376 Br
0.904 0.172 0.124 Br
0.953 0.654 0.369 Br
```

---

Entry 2:
BeCu2Ir | PBE | relaxed

The value obtained for the energy is -5.1391 eV/atom.

```
BeCu2Ir
1.0
2.604 0.000 0.000
0.000 3.708 0.000
0.000 0.000 4.977
Be Cu Ir
1 2 1
direct
0.000 0.000 0.000 Be
0.500 0.500 0.237 Cu
0.500 0.500 0.763 Cu
0.000 0.000 0.500 Ir
```

---

The following mass density values (in g cm⁻³) correspond, in order, to the records above: 4.880, 11.347.